# LiTh2Pt9

A relaxed structure of LiTh2Pt9 (PBE, Alexandria).

a b c (Å): 4.1657 4.1657 12.1762
angles (deg): 90.00 90.00 90.00
Element x y z (fractional)
Th1 0.0000 0.0000 0.6799
Li1 0.0000 0.0000 0.0000
Pt1 0.5000 0.5000 0.0000
Th2 0.0000 0.0000 0.3201
Pt2 0.0000 0.5000 0.1480
Pt3 0.5000 0.0000 0.8520
Pt4 0.0000 0.5000 0.5000
Pt5 0.0000 0.5000 0.8520
Pt6 0.5000 0.5000 0.3266
Pt7 0.5000 0.0000 0.1480
Pt8 0.5000 0.0000 0.5000
Pt9 0.5000 0.5000 0.6734

Space group: No. 123
Calculated volume: 17.61 Å³ per atom
Calculated total energy: -6.80 eV/atom
Energy relative to the elements: -10.43 eV per formula unit